# PBE LaYGa, optimized geometry
data_LaYGa
_chemical_formula_sum 'La2 Y2 Ga2'
_space_group_name_H-M_alt 'P 1'
_space_group_IT_number 1
_space_group_name_Hall 'P 1'
_cell_length_a 4.726
_cell_length_b 4.726
_cell_length_c 7.916
_cell_angle_alpha 90.00
_cell_angle_beta 90.00
_cell_angle_gamma 90.00
loop_
_atom_site_label
_atom_site_type_symbol
_atom_site_fract_x
_atom_site_fract_y
_atom_site_fract_z
La1 La 0.250 0.250 0.139
La2 La 0.750 0.750 0.861
Y1 Y 0.250 0.750 0.500
Y2 Y 0.750 0.250 0.500
Ga1 Ga 0.250 0.250 0.747
Ga2 Ga 0.750 0.750 0.253
# Formation energy (eV per atom): -0.393
# Density of states at the Fermi level (states/eV/cell): 6.461